Crystalline SrLi3V at its relaxed geometry. Source: Alexandria via LeMat-Bulk, functional PBE-GGA.

Magnetic moment: 1.066 μB/atom
Energy: -2.705 eV per atom
DOS at the Fermi energy: 4.1 states/eV/f.u.
Energy above the lowest structure with this stoichiometry: 0 meV per atom
Formation energy: 0.604 eV per atom
Symmetry: Pm-3m (221)
Mass density: 1.88 g/cm3

The structure in POSCAR format:
```
SrLi3V
1.0
5.1979 0.0000 0.0000
0.0000 5.1979 0.0000
0.0000 0.0000 5.1979
Sr Li V
1 3 1
Cartesian
0.0000 0.0000 0.0000
0.0000 2.5989 2.5989
2.5989 0.0000 2.5989
2.5989 2.5989 0.0000
2.5989 2.5989 2.5989
```



Crystalline SrLiV3 at its relaxed geometry. Source: Alexandria via LeMat-Bulk, functional PBE-GGA.

Magnetic moment: 2.367 μB/atom
Energy: -4.859 eV per atom
DOS at the Fermi energy: 11.3 states/eV/f.u.
Energy above the lowest structure with this stoichiometry: 0 meV per atom
Formation energy: 1.331 eV per atom
Symmetry: Pm-3m (221)
Mass density: 3.53 g/cm3

The structure in POSCAR format:
```
SrLiV3
1.0
4.8832 0.0000 0.0000
0.0000 4.8832 0.0000
0.0000 0.0000 4.8832
Sr Li V
1 1 3
Cartesian
0.0000 0.0000 0.0000
2.4416 2.4416 2.4416
0.0000 2.4416 2.4416
2.4416 0.0000 2.4416
2.4416 2.4416 0.0000
```



Crystalline SrLiV3 at its relaxed geometry. Source: Alexandria via LeMat-Bulk, functional PBE-GGA.

Magnetic moment: 0.000 μB/atom
Energy: -3.776 eV per atom
DOS at the Fermi energy: 5.1 states/eV/f.u.
Energy above the lowest structure with this stoichiometry: 1083 meV per atom
Formation energy: 2.414 eV per atom
Symmetry: Pm-3m (221)
Mass density: 4.19 g/cm3

The structure in POSCAR format:
```
SrLiV3
1.0
4.6100 0.0000 0.0000
0.0000 4.6100 0.0000
0.0000 0.0000 4.6100
Sr Li V
1 1 3
Cartesian
0.0000 0.0000 0.0000
2.3050 2.3050 2.3050
0.0000 0.0000 2.3050
0.0000 2.3050 0.0000
2.3050 0.0000 0.0000
```



Crystalline SrLi3V at its relaxed geometry. Source: Alexandria via LeMat-Bulk, functional PBE-GGA.

Magnetic moment: 0.724 μB/atom
Energy: -1.954 eV per atom
DOS at the Fermi energy: 7.1 states/eV/f.u.
Energy above the lowest structure with this stoichiometry: 751 meV per atom
Formation energy: 1.354 eV per atom
Symmetry: Pm-3m (221)
Mass density: 1.84 g/cm3

The structure in POSCAR format:
```
SrLi3V
1.0
5.2416 0.0000 0.0000
0.0000 5.2416 0.0000
0.0000 0.0000 5.2416
Sr Li V
1 3 1
Cartesian
0.0000 0.0000 0.0000
0.0000 0.0000 2.6208
0.0000 2.6208 0.0000
2.6208 0.0000 0.0000
2.6208 2.6208 2.6208
```



Question: Which value of magnetic moment does entry 4 give?
Answer: 0.724 μB/atom



Question: The highest formation energy belongs to which entry?
Answer: number 3